8
Lattice="-3.894 3.894 2.850 3.894 -3.894 2.850 3.894 3.894 -2.850" Properties=species:S:1:pos:R:3 comment="Zr2HgPd | Alexandria | PBE-GGA | optimized geometry" n_ef_per_ev_cell=10.2 final_energy_ev_per_atom=-5.69 formation_energy_ev_per_atom=-0.047 pbc="T T T"
Zr 5.840 1.691 -0.713
Zr 1.691 1.947 0.713
Zr -1.947 2.202 2.138
Zr 2.202 1.947 3.563
Hg 3.894 0.000 1.425
Hg 0.000 0.000 2.850
Pd 0.000 0.000 0.000
Pd 0.000 3.894 1.425